# 1
This record from the Alexandria database describes an optimized crystal structure of TaRu2Se. The functional is PBE.

a = 4.542 Å, b = 4.542 Å, c = 3.083 Å
α = 90.00°, β = 90.00°, γ = 99.47°
Positions (direct):
Ru (0.000, 0.000, 0.000)
Ru (0.500, 0.500, 0.000)
Se (0.500, 0.000, 0.500)
Ta (0.000, 0.500, 0.500)

Summary:
The symmetry is No. 65.



# 2
This record from the Alexandria database describes an optimized crystal structure of TaRuSe2. The functional is PBE.

a = 3.201 Å, b = 3.201 Å, c = 8.072 Å
α = 90.00°, β = 90.00°, γ = 120.35°
Each line ends with the local moment (μB).
Positions (direct):
Ru (0.500, 0.500, 0.750)  0.12
Se (0.000, 0.000, 0.991)  0.00
Se (0.000, 0.000, 0.509)  0.00
Ta (0.500, 0.500, 0.250)  0.01

Summary:
As for the energy above the most stable polymorph in this dataset: 0.816 eV/atom. The symmetry is No. 65.



# 3
This record from the Alexandria database describes an optimized crystal structure of TaRu2Se. The functional is PBE.

a = 4.810 Å, b = 4.810 Å, c = 4.810 Å
α = 131.12°, β = 131.12°, γ = 71.62°
Positions (direct):
Ru (0.000, 0.000, 0.000)
Ru (0.500, 0.500, 0.000)
Se (0.250, 0.750, 0.500)
Ta (0.750, 0.250, 0.500)

Summary:
The symmetry is No. 139.



# 4
This record from the Alexandria database describes an optimized crystal structure of TaRu2Se. The functional is PBE.

a = 4.115 Å, b = 2.966 Å, c = 5.361 Å
α = 72.74°, β = 90.00°, γ = 90.00°
Positions (direct):
Ru (0.000, 0.124, 0.013)
Ru (0.000, 0.376, 0.487)
Se (0.500, 0.250, 0.250)
Ta (0.500, 0.750, 0.750)

Summary:
The symmetry is No. 10.



How do the records compare in ΔE_f (raw)? In the order shown, they have 0.27 1.68 0.43 0.06 eV/f.u..